{"formula": "Nb2BiCl", "functional": "PBE", "state": "optimized geometry", "final_energy_ev_per_atom": -5.9691, "total_magnetization_mub_per_atom": 0.000, "raw_formation_energy_ev_per_atom": 0.4977, "de_polymorph_ev_per_atom": 0.100, "cell": [[-2.3813, 2.3813, 8.3994], [2.3813, -2.3813, 8.3994], [2.3813, 2.3813, -8.3994]], "species": ["Nb", "Nb", "Nb", "Nb", "Bi", "Bi", "Cl", "Cl"], "fractional_positions": [[0.0321, 0.6250, 0.9071], [0.3750, 0.2821, 0.4071], [0.7179, 0.1250, 0.0929], [0.8750, 0.9679, 0.5929], [0.2500, 0.7500, 0.5000], [0.5000, 0.5000, 0.0000], [0.0000, 0.0000, 0.0000], [0.7500, 0.2500, 0.5000]]}

=====

{"formula": "GdZrIrAu", "functional": "PBE", "state": "optimized geometry", "final_energy_ev_per_atom": -9.3128, "total_magnetization_mub_per_atom": 1.816, "e_form_ev_per_atom": -0.62, "cell": [[0.0000, 3.4565, 3.4565], [3.4565, 0.0000, 3.4565], [3.4565, 3.4565, 0.0000]], "species": ["Gd", "Zr", "Ir", "Au"], "fractional_positions": [[0.0000, 0.0000, 0.0000], [0.5000, 0.5000, 0.5000], [0.2500, 0.2500, 0.2500], [0.7500, 0.7500, 0.7500]]}

=====

{"formula": "MgCdW2", "functional": "PBE", "state": "optimized geometry", "final_energy_ev_per_atom": -6.8166, "total_magnetization_mub_per_atom": 0.000, "e_form_ev_per_atom": 0.29, "de_polymorph_ev_per_atom": 0.000, "cell": [[1.6213, -2.3142, 0.0000], [1.6213, 2.3142, 0.0000], [0.0000, 0.0000, 9.5857]], "species": ["Mg", "Cd", "W", "W"], "fractional_positions": [[0.0000, 0.0000, 0.0000], [0.5000, 0.5000, 0.7286], [0.0000, 0.0000, 0.4675], [0.5000, 0.5000, 0.2461]]}

=====

{"formula": "Nd3TlOs", "functional": "PBE", "state": "optimized geometry", "final_energy_ev_per_atom": -5.7071, "total_magnetization_mub_per_atom": 0.000, "e_form_ev_per_atom": -0.13, "de_polymorph_ev_per_atom": 0.075, "cell": [[6.3063, -2.8917, 0.0000], [6.3063, 2.8917, 0.0000], [-3.4474, 0.0000, 8.3965]], "species": ["Nd", "Nd", "Nd", "Nd", "Nd", "Nd", "Tl", "Tl", "Os", "Os"], "fractional_positions": [[0.1019, 0.1019, 0.2173], [0.1648, 0.1648, 0.6513], [0.3847, 0.3847, 0.1069], [0.6153, 0.6153, 0.8931], [0.8352, 0.8352, 0.3487], [0.8981, 0.8981, 0.7827], [0.3857, 0.3857, 0.5345], [0.6143, 0.6143, 0.4655], [0.1419, 0.1419, 0.9363], [0.8581, 0.8581, 0.0637]]}

=====

{"formula": "Ac2SnO5", "functional": "PBE", "state": "optimized geometry", "final_energy_ev_per_atom": -7.3503, "total_magnetization_mub_per_atom": 0.000, "raw_formation_energy_ev_per_atom": -2.7240, "cell": [[5.9759, -2.9138, 0.0000], [5.9759, 2.9138, 0.0000], [-2.8167, 0.0000, 7.6222]], "species": ["Ac", "Ac", "Ac", "Ac", "Sn", "Sn", "O", "O", "O", "O", "O", "O", "O", "O", "O", "O"], "fractional_positions": [[0.1448, 0.1942, 0.3327], [0.1942, 0.1448, 0.8327], [0.8058, 0.8552, 0.1673], [0.8552, 0.8058, 0.6673], [0.5000, 0.5000, 0.0000], [0.5000, 0.5000, 0.5000], [0.1133, 0.5980, 0.4017], [0.1256, 0.6027, 0.9627], [0.3744, 0.6256, 0.7500], [0.3973, 0.8744, 0.5373], [0.4020, 0.8867, 0.0983], [0.5980, 0.1133, 0.9017], [0.6027, 0.1256, 0.4627], [0.6256, 0.3744, 0.2500], [0.8744, 0.3973, 0.0373], [0.8867, 0.4020, 0.5983]]}

=====

{"formula": "ZrIn2Tc", "functional": "PBE", "state": "optimized geometry", "final_energy_ev_per_atom": -6.1556, "total_magnetization_mub_per_atom": 0.000, "e_form_ev_per_atom": -0.06, "de_polymorph_ev_per_atom": 0.000, "cell": [[3.5100, 0.0000, 0.0000], [0.0000, 3.5100, 0.0000], [0.0000, 0.0000, 6.6009]], "species": ["Zr", "In", "In", "Tc"], "fractional_positions": [[0.0000, 0.0000, 0.0000], [0.0000, 0.0000, 0.5546], [0.5000, 0.5000, 0.2831], [0.5000, 0.5000, 0.7965]]}

=====

{"formula": "SrReSe2", "functional": "PBE", "state": "optimized geometry", "final_energy_ev_per_atom": -4.5085, "total_magnetization_mub_per_atom": 1.077, "raw_formation_energy_ev_per_atom": 0.7663, "de_polymorph_ev_per_atom": 1.290, "cell": [[0.0000, 3.6263, 3.6263], [3.6263, 0.0000, 3.6263], [3.6263, 3.6263, 0.0000]], "species": ["Sr", "Re", "Se", "Se"], "fractional_positions": [[0.0000, 0.0000, 0.0000], [0.2500, 0.2500, 0.2500], [0.5000, 0.5000, 0.5000], [0.7500, 0.7500, 0.7500]]}

=====

{"formula": "SmTl2Sb2O6", "functional": "PBE", "state": "optimized geometry", "final_energy_ev_per_atom": -5.8576, "total_magnetization_mub_per_atom": 0.000, "raw_formation_energy_ev_per_atom": -1.5443, "cell": [[5.0853, -3.1571, 0.0000], [5.0853, 3.1571, 0.0000], [-3.6221, 0.0000, 7.1429]], "species": ["Sm", "Tl", "Tl", "Sb", "Sb", "O", "O", "O", "O", "O", "O"], "fractional_positions": [[0.0000, 0.0000, 0.0000], [0.2178, 0.2178, 0.7107], [0.7822, 0.7822, 0.2893], [0.4396, 0.4396, 0.2623], [0.5604, 0.5604, 0.7377], [0.2197, 0.6779, 0.7778], [0.2460, 0.2460, 0.0451], [0.3221, 0.7803, 0.2222], [0.6779, 0.2197, 0.7778], [0.7540, 0.7540, 0.9549], [0.7803, 0.3221, 0.2222]]}

=====

{"formula": "HfCdInTe2", "functional": "PBE", "state": "optimized geometry", "final_energy_ev_per_atom": -3.9915, "total_magnetization_mub_per_atom": 0.000, "raw_formation_energy_ev_per_atom": -0.0134, "cell": [[5.5356, 0.0000, 0.0000], [0.0000, 5.5356, 0.0000], [0.0000, 0.0000, 5.8776]], "species": ["Hf", "Cd", "In", "Te", "Te"], "fractional_positions": [[0.0000, 0.0000, 0.0000], [0.5000, 0.5000, 0.5000], [0.0000, 0.0000, 0.5000], [0.0000, 0.5000, 0.0000], [0.5000, 0.0000, 0.0000]]}

=====

{"formula": "LiTm7Hg4", "functional": "PBE", "state": "optimized geometry", "final_energy_ev_per_atom": -2.9860, "total_magnetization_mub_per_atom": 0.000, "e_form_ev_per_atom": -0.12, "cell": [[7.2302, -2.7549, 0.0000], [7.2302, 2.7549, 0.0000], [-4.9309, 0.0000, 8.0039]], "species": ["Li", "Tm", "Tm", "Tm", "Tm", "Tm", "Tm", "Tm", "Hg", "Hg", "Hg", "Hg"], "fractional_positions": [[0.0000, 0.0000, 0.0000], [0.0722, 0.0722, 0.4148], [0.1947, 0.1947, 0.8785], [0.2590, 0.2590, 0.3004], [0.5000, 0.5000, 0.0000], [0.7410, 0.7410, 0.6996], [0.8053, 0.8053, 0.1215], [0.9278, 0.9278, 0.5852], [0.3134, 0.3134, 0.6591], [0.4547, 0.4547, 0.2869], [0.5453, 0.5453, 0.7131], [0.6866, 0.6866, 0.3409]]}

=====

{"formula": "ReSn2MoIr", "functional": "PBE", "state": "optimized geometry", "final_energy_ev_per_atom": -6.2987, "total_magnetization_mub_per_atom": 0.221, "e_form_ev_per_atom": 1.73, "cell": [[5.0694, 0.0000, 0.0000], [0.0000, 5.0694, 0.0000], [0.0000, 0.0000, 4.7292]], "species": ["Re", "Sn", "Sn", "Mo", "Ir"], "fractional_positions": [[0.0000, 0.0000, 0.0000], [0.0000, 0.5000, 0.5000], [0.5000, 0.0000, 0.5000], [0.0000, 0.0000, 0.5000], [0.5000, 0.5000, 0.0000]]}

=====

{"formula": "Cs4UCl7", "functional": "PBE", "state": "optimized geometry", "final_energy_ev_per_atom": -4.1796, "total_magnetization_mub_per_atom": 0.250, "raw_formation_energy_ev_per_atom": -1.8772, "cell": [[8.8030, -2.8228, 0.0000], [8.8030, 2.8228, 0.0000], [-6.8128, 0.0000, 10.0762]], "species": ["Cs", "Cs", "Cs", "Cs", "U", "Cl", "Cl", "Cl", "Cl", "Cl", "Cl", "Cl"], "fractional_positions": [[0.0756, 0.0756, 0.2576], [0.2318, 0.2318, 0.8458], [0.7682, 0.7682, 0.1542], [0.9244, 0.9244, 0.7424], [0.5000, 0.5000, 0.5000], [0.0000, 0.0000, 0.5000], [0.1377, 0.1377, 0.0385], [0.3310, 0.3310, 0.4587], [0.4286, 0.4286, 0.2354], [0.5714, 0.5714, 0.7646], [0.6690, 0.6690, 0.5413], [0.8623, 0.8623, 0.9615]]}